# 1
DFT (PBE-GGA) results for a relaxed structure of ZnIrRu.

## Properties
As for the total energy: -6.535 eV/atom. For the energy of formation from the pure elements, the calculation gives -0.0651 eV per atom. For the distance to the lowest polymorph of the same formula, the calculation gives 0 kJ/mol of formula units. Its space group is I4mm, No. 107. As for the density of states at the Fermi level: 0.705 states/eV/atom.

a b c (Å): 6.020 6.020 6.020
angles (deg): 153.64 153.64 37.63
Sites, in units of the cell vectors:
Zn 0.000 0.000 0.000
Ir 0.326 0.326 0.000
Ru 0.673 0.673 0.000


# 2
DFT (PBE-GGA) results for a relaxed structure of Nd4Er5Th.

## Properties
As for the total energy: -4.916 eV/atom. For the energy of formation from the pure elements, the calculation gives 0.0148 eV per atom. For the distance to the lowest polymorph of the same formula, the calculation gives 0 kJ/mol of formula units. Its space group is P4/mmm, No. 123. As for the density of states at the Fermi level: 1.290 states/eV/atom.

a b c (Å): 3.599 3.599 25.153
angles (deg): 90.00 90.00 90.00
Sites, in units of the cell vectors:
Nd 0.000 0.000 0.100
Nd 0.000 0.000 0.302
Nd 0.000 0.000 0.698
Nd 0.000 0.000 0.900
Er 0.500 0.500 0.000
Er 0.500 0.500 0.201
Er 0.500 0.500 0.404
Er 0.500 0.500 0.596
Er 0.500 0.500 0.799
Th 0.000 0.000 0.500


# 3
DFT (PBE-GGA) results for a relaxed structure of HfRu2N2.

## Properties
As for the total energy: -9.335 eV/atom. For the distance to the lowest polymorph of the same formula, the calculation gives 0 kJ/mol of formula units. Its space group is P4/mbm, No. 127. As for the density of states at the Fermi level: 0.789 states/eV/atom. The calculation puts the uncorrected formation energy at -0.303 eV/atom.

a b c (Å): 5.903 5.903 3.832
angles (deg): 90.00 90.00 90.00
Sites, in units of the cell vectors:
Hf 0.000 0.000 0.000
Hf 0.500 0.500 0.000
Ru 0.163 0.337 0.500
Ru 0.337 0.837 0.500
Ru 0.663 0.163 0.500
Ru 0.837 0.663 0.500
N 0.166 0.334 0.000
N 0.334 0.834 0.000
N 0.666 0.166 0.000
N 0.834 0.666 0.000


# 4
DFT (PBE-GGA) results for a relaxed structure of CsSiNi2.

## Properties
As for the total energy: -3.329 eV/atom. For the distance to the lowest polymorph of the same formula, the calculation gives 319 kJ/mol of formula units. Its space group is Fm-3m, No. 225. As for the density of states at the Fermi level: 1.951 states/eV/atom. The calculation puts the uncorrected formation energy at 1.131 eV/atom.

a b c (Å): 4.746 4.746 4.746
angles (deg): 60.00 60.00 60.00
Sites, in units of the cell vectors:
Cs 0.000 0.000 0.000
Si 0.500 0.500 0.500
Ni 0.250 0.250 0.250
Ni 0.750 0.750 0.750


# 5
DFT (PBE-GGA) results for a relaxed structure of LiSi2Au.

## Properties
As for the total energy: -3.961 eV/atom. For the distance to the lowest polymorph of the same formula, the calculation gives 58 kJ/mol of formula units. Its space group is R3m, No. 160. As for the density of states at the Fermi level: 0.370 states/eV/atom. The calculation puts the uncorrected formation energy at 0.048 eV/atom.

a b c (Å): 8.254 8.254 8.254
angles (deg): 21.08 21.08 21.08
Sites, in units of the cell vectors:
Li 0.000 0.000 0.000
Si 0.494 0.494 0.494
Si 0.752 0.752 0.752
Au 0.242 0.242 0.242


# 6
DFT (PBE-GGA) results for a relaxed structure of BeCSe2.

## Properties
As for the total energy: -4.141 eV/atom. For the distance to the lowest polymorph of the same formula, the calculation gives 41 kJ/mol of formula units. Its space group is R-3m, No. 166. As for the density of states at the Fermi level: 0.343 states/eV/atom. The calculation puts the uncorrected formation energy at 0.839 eV/atom.

a b c (Å): 6.420 6.420 6.420
angles (deg): 33.01 33.01 33.01
Sites, in units of the cell vectors:
Be 0.000 0.000 0.000
C 0.500 0.500 0.500
Se 0.403 0.403 0.403
Se 0.597 0.597 0.597